# YBeFeSi (GGA-PBE, optimized geometry)
# Total DFT energy (no corrections): -23.830 eV per cell
data_YBeFeSi
_space_group_name_H-M_alt 'P 1'
_space_group_IT_number 1
_cell_length_a 4.305
_cell_length_b 4.305
_cell_length_c 4.305
_cell_angle_alpha 60.00
_cell_angle_beta 60.00
_cell_angle_gamma 60.00
loop_
_space_group_symop_operation_xyz
'x,y,z'
loop_
_atom_site_label
_atom_site_type_symbol
_atom_site_fract_x
_atom_site_fract_y
_atom_site_fract_z
Be1 Be 0.250 0.250 0.250
Fe1 Fe 0.750 0.750 0.750
Y1 Y 0.500 0.500 0.500
Si1 Si 0.000 0.000 0.000

---

# YBeFeSi (GGA-PBE, optimized geometry)
# Total DFT energy (no corrections): -23.857 eV per cell
data_YBeFeSi
_space_group_name_H-M_alt 'P 1'
_space_group_IT_number 1
_cell_length_a 4.339
_cell_length_b 4.339
_cell_length_c 4.339
_cell_angle_alpha 60.00
_cell_angle_beta 60.00
_cell_angle_gamma 60.00
loop_
_space_group_symop_operation_xyz
'x,y,z'
loop_
_atom_site_label
_atom_site_type_symbol
_atom_site_fract_x
_atom_site_fract_y
_atom_site_fract_z
Y1 Y 0.250 0.250 0.250
Si1 Si 0.000 0.000 0.000
Be1 Be 0.500 0.500 0.500
Fe1 Fe 0.750 0.750 0.750

---

# BeZnFeSi (GGA-PBE, optimized geometry)
# Total DFT energy (no corrections): -17.344 eV per cell
data_BeZnFeSi
_space_group_name_H-M_alt 'P 1'
_space_group_IT_number 1
_cell_length_a 3.988
_cell_length_b 3.988
_cell_length_c 3.988
_cell_angle_alpha 60.00
_cell_angle_beta 60.00
_cell_angle_gamma 60.00
loop_
_space_group_symop_operation_xyz
'x,y,z'
loop_
_atom_site_label
_atom_site_type_symbol
_atom_site_fract_x
_atom_site_fract_y
_atom_site_fract_z
Si1 Si 0.250 0.250 0.250
Zn1 Zn 0.500 0.500 0.500
Fe1 Fe 0.750 0.750 0.750
Be1 Be 0.000 0.000 0.000